! PBE Ca2TeBr, relaxed; values from VASP
&SYSTEM
  ibrav = 0, nat = 8, ntyp = 3
/
ATOMIC_SPECIES
Ca 40.08 Ca.upf
Te 127.60 Te.upf
Br 79.90 Br.upf
CELL_PARAMETERS angstrom
7.659 0.000 0.000
0.000 7.667 0.000
0.000 0.000 3.886
ATOMIC_POSITIONS crystal
Ca 0.250 0.250 0.000
Ca 0.250 0.750 0.000
Ca 0.750 0.250 0.000
Ca 0.750 0.750 0.000
Te 0.000 0.000 0.500
Te 0.500 0.500 0.500
Br 0.000 0.500 0.500
Br 0.500 0.000 0.500
! - calculated total energy (eV per cell) = -27.790
! - formation energy from raw total energies (eV/atom) = -1.27
! - volume (Å³/cell) = 228.2
! - polymorph energy (0 for the lowest one) (meV per atom) = 177.3